[1]
DFT (PBE) results for a relaxed structure of K2FeBr.

Cell: 8.219 8.219 8.219 Å, 90.00 90.00 90.00°
Space group F-43m (No. 216)
Unique sites:
K1 0.000 0.000 0.000 x4
K2 0.250 0.250 0.250 x4
Fe1 0.000 0.000 0.500 x4
Br1 0.250 0.250 0.750 x4

Properties
Formation energy (no corrections)   284.8 meV per atom
Energy   -2.798 eV per atom
Total magnetic moment   11.987 μB/cell
Relative energy among the computed polymorphs   332 meV per atom

=====

[2]
DFT (PBE) results for a relaxed structure of KFe2Br.

Cell: 3.478 3.334 7.854 Å, 90.00 102.75 90.00°
Space group Pm (No. 6)
Unique sites:
K1 0.000 0.000 0.000 x1
Fe1 0.228 0.000 0.452 x1
Fe2 0.679 0.500 0.353 x1
Br1 0.362 0.500 0.724 x1

Properties
Formation energy (no corrections)   204.2 meV per atom
Energy   -4.720 eV per atom
Total magnetic moment   5.864 μB/cell
Relative energy among the computed polymorphs   0 meV per atom

=====

[3]
DFT (PBE) results for a relaxed structure of KFeBr4.

Cell: 10.724 10.724 8.533 Å, 90.00 90.00 90.00°
Space group I4_1/amd (No. 141, origin choice 2)
Unique sites:
K1 0.000 0.250 0.375 x4
Fe1 0.000 0.250 0.875 x4
Br1 0.000 0.073 0.711 x16

Properties
Formation energy (no corrections)   -935.7 meV per atom
Energy   -3.644 eV per atom
Total magnetic moment   19.990 μB/cell
Relative energy among the computed polymorphs   9 meV per atom

=====

[4]
DFT (PBE) results for a relaxed structure of K2FeBr.

Cell: 5.404 4.221 12.914 Å, 90.00 90.00 90.00°
Space group Amm2 (No. 38)
Unique sites:
K1 0.000 0.000 0.000 x2
K2 0.500 0.000 0.247 x2
Fe1 0.000 0.000 0.735 x2
Br1 0.500 0.000 0.518 x2

Properties
Formation energy (no corrections)   22.0 meV per atom
Energy   -3.061 eV per atom
Total magnetic moment   6.018 μB/cell
Relative energy among the computed polymorphs   69 meV per atom

=====

[5]
DFT (PBE) results for a relaxed structure of KLiFeBr4.

Cell: 7.213 7.213 9.625 Å, 90.00 90.00 90.00°
Space group I-4 (No. 82)
Unique sites:
K1 0.000 0.000 0.000 x2
Li1 0.000 0.000 0.500 x2
Fe1 0.000 0.500 0.750 x2
Br1 0.172 0.245 0.641 x8

Properties
Formation energy (no corrections)   -1095.6 meV per atom
Energy   -3.691 eV per atom
Total magnetic moment   8.000 μB/cell

=====

[6]
DFT (PBE) results for a relaxed structure of K2MgFeBr6.

Cell: 7.361 7.509 12.838 Å, 90.00 124.91 90.00°
Space group P2_1/c (No. 14)
Unique sites:
K1 0.234 0.057 0.250 x4
Mg1 0.500 0.000 0.000 x2
Fe1 0.000 0.000 0.500 x2
Br1 0.167 0.209 0.965 x4
Br2 0.257 0.703 0.965 x4
Br3 0.318 0.006 0.747 x4

Properties
Formation energy (no corrections)   -1216.2 meV per atom
Energy   -3.445 eV per atom
Total magnetic moment   8.000 μB/cell